Entry 1:
Compound: BaMgAlPd
Source: Alexandria via LeMat-Bulk
Functional: PBE
Structure: optimized geometry

Calculated values
The value obtained for the volume is 27.50 Å³ per atom. The spin magnetization comes out at 0.001 μB/atom. The formation energy is -1.7 eV per formula unit. For the total DFT energy (no corrections), the calculation gives -3.540 eV/atom.

Unit cell a=4.5071 b=4.5071 c=18.7569 alpha=90.00 beta=90.00 gamma=120.00
Closest atoms and distances in Å follow each position.
Space group R3m (No. 160, hexagonal axes)
Unique sites:
Ba 0.0000 0.0000 0.0000 [3 per cell]  4 Mg 3.56-3.75, 4 Al 3.57-3.81, 3 Pd 3.73
Mg 0.0000 0.0000 0.1896 [3 per cell]  3 Pd 2.75, 3 Al 2.83
Al 0.0000 0.0000 0.7967 [3 per cell]  3 Pd 2.61, 3 Mg 2.83
Pd 0.0000 0.0000 0.4760 [3 per cell]  3 Al 2.61, 3 Mg 2.75


Entry 2:
Compound: BaMg2AlPd
Source: Alexandria via LeMat-Bulk
Functional: PBE
Structure: optimized geometry

Calculated values
The value obtained for the volume is 26.10 Å³ per atom. The spin magnetization comes out at 0.000 μB/atom. The formation energy is -1.8 eV per formula unit. For the total DFT energy (no corrections), the calculation gives -3.175 eV/atom.

Unit cell a=5.1497 b=5.1497 c=4.9219 alpha=90.00 beta=90.00 gamma=90.00
Closest atoms and distances in Å follow each position.
Space group P4/mmm (No. 123)
Unique sites:
Ba 0.0000 0.0000 0.0000 [1 per cell]  8 Mg 3.56, 4 Al 3.64
Mg 0.0000 0.5000 0.5000 [2 per cell]  2 Pd 2.57
Al 0.5000 0.5000 0.0000 [1 per cell]  2 Pd 2.46
Pd 0.5000 0.5000 0.5000 [1 per cell]  2 Al 2.46, 4 Mg 2.57


Entry 3:
Compound: BaMgAl2Pd
Source: Alexandria via LeMat-Bulk
Functional: PBE
Structure: optimized geometry

Calculated values
The value obtained for the volume is 24.57 Å³ per atom. The spin magnetization comes out at 0.000 μB/atom. The formation energy is -1.9 eV per formula unit. For the total DFT energy (no corrections), the calculation gives -3.613 eV/atom.

Unit cell a=4.9081 b=4.9081 c=5.0993 alpha=90.00 beta=90.00 gamma=90.00
Closest atoms and distances in Å follow each position.
Space group P4/mmm (No. 123)
Unique sites:
Ba 0.0000 0.0000 0.0000 [1 per cell]  4 Mg 3.47, 8 Al 3.54
Mg 0.5000 0.5000 0.0000 [1 per cell]  2 Pd 2.55
Al 0.0000 0.5000 0.5000 [2 per cell]  2 Pd 2.45
Pd 0.5000 0.5000 0.5000 [1 per cell]  4 Al 2.45, 2 Mg 2.55


Q: Among the records above, which one has the highest total DFT energy (no corrections)?
A: BaMg2AlPd


What did the first record say?
Compound: BaMgAlPd
Source: Alexandria via LeMat-Bulk
Functional: PBE
Structure: optimized geometry

Calculated values
The value obtained for the volume is 27.50 Å³ per atom. The spin magnetization comes out at 0.001 μB/atom. The formation energy is -1.7 eV per formula unit. For the total DFT energy (no corrections), the calculation gives -3.540 eV/atom.

Unit cell a=4.5071 b=4.5071 c=18.7569 alpha=90.00 beta=90.00 gamma=120.00
Closest atoms and distances in Å follow each position.
Space group R3m (No. 160, hexagonal axes)
Unique sites:
Ba 0.0000 0.0000 0.0000 [3 per cell]  4 Mg 3.56-3.75, 4 Al 3.57-3.81, 3 Pd 3.73
Mg 0.0000 0.0000 0.1896 [3 per cell]  3 Pd 2.75, 3 Al 2.83
Al 0.0000 0.0000 0.7967 [3 per cell]  3 Pd 2.61, 3 Mg 2.83
Pd 0.0000 0.0000 0.4760 [3 per cell]  3 Al 2.61, 3 Mg 2.75